Record 1
Here is InSn2Au after structural relaxation from OQMD via LeMat-Bulk. Energies are from GGA-PBE.

Output
crystal system = cubic
total DFT energy (no corrections) = -3.464 eV per atom
V = 24.6 Å³ per atom

Cell lengths 7.3288, 7.3288, 7.3288 Å; angles 90.00, 90.00, 90.00 degrees
Closest atoms and distances in Å follow each position.
Space group F-43m (No. 216)
Unique sites:
In 0.0000 0.0000 0.0000 (multiplicity 4)  4 Au 3.17, 4 Sn 3.17
Sn 0.0000 0.0000 0.5000 (multiplicity 4)  4 Sn 3.17, 4 Au 3.17
Sn 0.2500 0.2500 0.7500 (multiplicity 4)  4 In 3.17, 4 Sn 3.17
Au 0.2500 0.2500 0.2500 (multiplicity 4)  4 Sn 3.17, 4 In 3.17

Record 2
Here is InSn5Au3 after structural relaxation from OQMD via LeMat-Bulk. Energies are from GGA-PBE.

Output
crystal system = hexagonal
total DFT energy (no corrections) = -3.592 eV per atom
V = 26.1 Å³ per atom

Cell lengths 5.6984, 5.6984, 8.3492 Å; angles 90.00, 90.00, 120.00 degrees
Closest atoms and distances in Å follow each position.
Space group P6/mmm (No. 191)
Unique sites:
In 0.0000 0.0000 0.0000 (multiplicity 1)  12 Sn 3.65
Sn 0.0000 0.0000 0.5000 (multiplicity 1)  6 Au 2.85
Sn 0.3333 0.6667 0.1907 (multiplicity 4)  3 Au 3.06, 4 Sn 3.18-3.29
Au 0.0000 0.5000 0.5000 (multiplicity 3)  6 Sn 2.85-3.06, 4 Au 2.85

Record 3
Here is InSnTe3Au after structural relaxation from OQMD via LeMat-Bulk. Energies are from GGA-PBE.

Output
energy above the lowest structure with this stoichiometry = 0.56 kJ/mol of atoms
crystal system = orthorhombic
V = 28.8 Å³ per atom

Cell lengths 4.1242, 14.5077, 11.5422 Å; angles 90.00, 90.00, 90.00 degrees
Closest atoms and distances in Å follow each position.
Space group Cmcm (No. 63)
Unique sites:
In 0.0000 0.2281 0.2500 (multiplicity 4)  6 Te 3.16-3.19
Sn 0.0000 0.0000 0.0000 (multiplicity 4)  6 Te 3.13-3.25
Te 0.0000 0.1037 0.7500 (multiplicity 4)  2 Au 2.80
Te 0.0000 0.3459 0.5646 (multiplicity 8)  1 Au 2.83, 2 Sn 3.13, 2 In 3.16
Au 0.0000 0.4732 0.7500 (multiplicity 4)  4 Te 2.80-2.83

Record 4
Here is InSnTe3Au after structural relaxation from OQMD via LeMat-Bulk. Energies are from GGA-PBE.

Output
energy above the lowest structure with this stoichiometry = 0.00 kJ/mol of atoms
crystal system = orthorhombic
V = 28.3 Å³ per atom

Cell lengths 4.2456, 13.5873, 11.7731 Å; angles 90.00, 90.00, 90.00 degrees
Closest atoms and distances in Å follow each position.
Space group Cmcm (No. 63)
Unique sites:
In 0.0000 0.0000 0.0000 (multiplicity 4)  6 Te 3.00-3.20
Sn 0.0000 0.2259 0.2500 (multiplicity 4)  2 Au 3.17, 6 Te 3.26-3.35
Te 0.0000 0.0921 0.7500 (multiplicity 4)  2 Au 2.89, 2 In 3.20
Te 0.0000 0.3496 0.5476 (multiplicity 8)  1 Au 2.73, 2 In 3.00
Au 0.0000 0.4477 0.7500 (multiplicity 4)  4 Te 2.73-2.89

Record 5
Here is SrIn2Au2 after structural relaxation from OQMD via LeMat-Bulk. Energies are from GGA-PBE.

Output
crystal system = orthorhombic
total DFT energy (no corrections) = -3.289 eV per atom
V = 25.1 Å³ per atom

Cell lengths 8.6599, 4.6604, 12.4350 Å; angles 90.00, 90.00, 90.00 degrees
Closest atoms and distances in Å follow each position.
Space group Pnma (No. 62)
Unique sites:
Sr 0.2108 0.2500 0.1673 (multiplicity 4)  7 Au 3.25-3.54, 4 In 3.54-3.63
In 0.0945 0.2500 0.4477 (multiplicity 4)  4 Au 2.73-2.91
In 0.1545 0.2500 0.8605 (multiplicity 4)  5 Au 2.76-2.94
Au 0.0091 0.7500 0.3297 (multiplicity 4)  5 In 2.76-2.94
Au 0.0945 0.7500 0.9850 (multiplicity 4)  4 In 2.73-2.89, 2 Au 2.87

Record 6
Here is SrIn2Au2 after structural relaxation from OQMD via LeMat-Bulk. Energies are from GGA-PBE.

Output
crystal system = tetragonal
total DFT energy (no corrections) = -3.277 eV per atom
V = 25.6 Å³ per atom

Cell lengths 4.5544, 4.5544, 12.3334 Å; angles 90.00, 90.00, 90.00 degrees
Closest atoms and distances in Å follow each position.
Space group I4/mmm (No. 139)
Unique sites:
Sr 0.0000 0.0000 0.0000 (multiplicity 2)  8 Au 3.50, 8 In 3.83
In 0.0000 0.5000 0.2500 (multiplicity 4)  4 Au 2.85
Au 0.0000 0.0000 0.3884 (multiplicity 4)  1 Au 2.75, 4 In 2.85

Record 7
Here is SrZn2InAu after structural relaxation from OQMD via LeMat-Bulk. Energies are from GGA-PBE.

Output
crystal system = tetragonal
total DFT energy (no corrections) = -2.421 eV per atom
V = 23.4 Å³ per atom

Cell lengths 4.4564, 4.4564, 11.7860 Å; angles 90.00, 90.00, 90.00 degrees
Closest atoms and distances in Å follow each position.
Space group I4mm (No. 107)
Unique sites:
Sr 0.0000 0.0000 0.0000 (multiplicity 2)  4 Au 3.41, 4 In 3.48, 4 Zn 3.55
Zn 0.0000 0.5000 0.2346 (multiplicity 4)  2 Au 2.66, 2 In 2.77
In 0.0000 0.0000 0.3743 (multiplicity 2)  4 Zn 2.77, 1 Au 2.79
Au 0.0000 0.0000 0.6112 (multiplicity 2)  4 Zn 2.66, 1 In 2.79

Record 8
Here is TbInAu2 after structural relaxation from OQMD via LeMat-Bulk. Energies are from GGA-PBE.

Output
crystal system = orthorhombic
total DFT energy (no corrections) = -4.063 eV per atom
V = 22.9 Å³ per atom

Cell lengths 4.5608, 3.7877, 10.6050 Å; angles 90.00, 90.00, 90.00 degrees
Closest atoms and distances in Å follow each position.
Space group Amm2 (No. 38)
Unique sites:
Tb 0.0000 0.0000 0.0000 (multiplicity 2)  7 Au 2.92-3.04
In 0.5000 0.0000 0.7169 (multiplicity 2)  7 Au 2.88-3.07
Au 0.0000 0.0000 0.2755 (multiplicity 2)  2 Au 2.90, 3 Tb 2.92-3.04, 4 In 3.03
Au 0.5000 0.0000 0.4451 (multiplicity 2)  3 In 2.88-3.07, 2 Au 2.90, 4 Tb 3.02

Record 9
Here is InTcAu after structural relaxation from OQMD via LeMat-Bulk. Energies are from GGA-PBE.

Output
energy above the lowest structure with this stoichiometry = 0.00 kJ/mol of atoms
crystal system = cubic
V = 21.4 Å³ per atom

Cell lengths 6.3608, 6.3608, 6.3608 Å; angles 90.00, 90.00, 90.00 degrees
Closest atoms and distances in Å follow each position.
Space group F-43m (No. 216)
Unique sites:
In 0.0000 0.0000 0.0000 (multiplicity 4)  4 Au 2.75
Tc 0.0000 0.0000 0.5000 (multiplicity 4)  4 Au 2.75
Au 0.2500 0.2500 0.2500 (multiplicity 4)  4 In 2.75, 4 Tc 2.75

Record 10
Here is InTcAu2 after structural relaxation from OQMD via LeMat-Bulk. Energies are from GGA-PBE.

Output
crystal system = cubic
total DFT energy (no corrections) = -4.595 eV per atom
V = 17.7 Å³ per atom

Cell lengths 6.5719, 6.5719, 6.5719 Å; angles 90.00, 90.00, 90.00 degrees
Closest atoms and distances in Å follow each position.
Space group F-43m (No. 216)
Unique sites:
In 0.0000 0.0000 0.0000 (multiplicity 4)  4 Tc 2.85, 4 Au 2.85
Tc 0.2500 0.2500 0.2500 (multiplicity 4)  4 Au 2.85, 4 In 2.85
Au 0.0000 0.0000 0.5000 (multiplicity 4)  4 Au 2.85, 4 Tc 2.85
Au 0.2500 0.2500 0.7500 (multiplicity 4)  4 In 2.85, 4 Au 2.85

Record 11
Here is InTcTe3Au after structural relaxation from OQMD via LeMat-Bulk. Energies are from GGA-PBE.

Output
crystal system = orthorhombic
total DFT energy (no corrections) = -4.338 eV per atom
V = 27.0 Å³ per atom

Cell lengths 3.8670, 15.6882, 10.6955 Å; angles 90.00, 90.00, 90.00 degrees
Closest atoms and distances in Å follow each position.
Space group Cmcm (No. 63)
Unique sites:
In 0.0000 0.1880 0.2500 (multiplicity 4)  2 Au 2.81, 4 Te 3.07
Tc 0.0000 0.5000 0.0000 (multiplicity 4)  6 Te 2.71-2.73
Te 0.0000 0.1206 0.5192 (multiplicity 8)  1 Au 2.65, 2 Tc 2.71
Te 0.0000 0.4638 0.7500 (multiplicity 4)  2 Tc 2.73
Au 0.0000 0.1822 0.7500 (multiplicity 4)  2 Te 2.65, 2 In 2.81

Record 12
Here is In2TeAu after structural relaxation from OQMD via LeMat-Bulk. Energies are from GGA-PBE.

Output
crystal system = cubic
total DFT energy (no corrections) = -2.915 eV per atom
V = 25.8 Å³ per atom

Cell lengths 7.4424, 7.4424, 7.4424 Å; angles 90.00, 90.00, 90.00 degrees
Closest atoms and distances in Å follow each position.
Space group F-43m (No. 216)
Unique sites:
In 0.0000 0.0000 0.0000 (multiplicity 4)  4 In 3.22, 4 Au 3.22
In 0.2500 0.2500 0.2500 (multiplicity 4)  4 In 3.22, 4 Te 3.22
Te 0.0000 0.0000 0.5000 (multiplicity 4)  4 Au 3.22, 4 In 3.22
Au 0.2500 0.2500 0.7500 (multiplicity 4)  4 In 3.22, 4 Te 3.22

Q: Which value of V does entry 2 give?
A: 26.1 Å³ per atom